The following is a PBEsol calculation of a geometry-optimized BeHgH2 structure, from the Alexandria database.

Cell and atoms, written as extended XYZ:
```
4
Lattice="3.789 0.000 0.000 1.895 3.281 0.000 1.895 1.094 3.094" Properties=species:S:1:pos:R:3 pbc="T T T"
Be 0.000 0.000 0.000
Hg 3.789 2.188 1.547
H 1.895 1.094 0.773
H 5.684 3.281 2.320
```

- Fermi-level density of states (states/eV/f.u.) = 0.69
- symmetry = No. 225
- electronic total energy (eV/atom) = -1.875

The following is a PBEsol calculation of a geometry-optimized YZn2Si structure, from the Alexandria database.

Cell and atoms, written as extended XYZ:
```
4
Lattice="4.072 0.000 0.000 2.036 3.526 0.000 2.036 1.175 5.046" Properties=species:S:1:pos:R:3 pbc="T T T"
Si 4.072 2.351 3.085
Y 2.036 1.175 1.303
Zn 2.036 1.175 4.621
Zn 6.108 3.526 3.720
```

- Fermi-level density of states (states/eV/f.u.) = 1.38
- symmetry = No. 160
- formation energy without anion corrections (kJ per mole of atoms) = -37.4